# 1
Entry from Alexandria via LeMat-Bulk: an optimized crystal structure of Ac5LaGe4 (PBE).

abc: 4.656 8.462 10.630
angles: 113.54 102.65 90.00
Element x y z (fractional)
1 Ac 0.836 0.593 0.671
2 Ac 0.837 0.090 0.675
3 Ac 0.163 0.910 0.325
4 Ac 0.500 0.500 0.000
5 Ac 0.164 0.407 0.329
6 La 0.500 0.000 0.000
7 Ge 0.308 0.812 0.616
8 Ge 0.999 0.755 0.997
9 Ge 0.692 0.188 0.384
10 Ge 0.001 0.245 0.003

Output
The calculation puts the total energy at -49.24 eV/cell. The formation energy is -530 meV/atom. The crystal system is monoclinic. The total magnetization is 0.00 μB/atom.


# 2
Entry from Alexandria via LeMat-Bulk: an optimized crystal structure of CuTc2Br (PBE).

abc: 2.829 2.829 9.144
angles: 90.00 90.00 117.23
Element x y z (fractional)
1 Br 0.000 0.000 0.505
2 Cu 0.500 0.500 0.765
3 Tc 0.000 0.000 0.003
4 Tc 0.500 0.500 0.228

Output
The calculation puts the total energy at -23.93 eV/cell. Its energy above the most stable polymorph in this dataset is 288 meV per atom. The crystal system is orthorhombic. As for the uncorrected formation energy: 0.643 eV/atom. The total magnetization is 0.00 μB/atom.


> Look up the total magnetization of the first one.

0.00 μB/atom